HfSn3Os | GGA-PBEsol | optimized geometry

Structure (CIF):
```
data_HfSn3Os
_chemical_formula_sum 'Hf1 Sn3 Os1'
_symmetry_space_group_name_H-M 'P m -3 m'
_symmetry_Int_Tables_number 221
_symmetry_space_group_name_Hall '-P 4 2 3'
_cell_length_a 5.3328
_cell_length_b 5.3328
_cell_length_c 5.3328
_cell_angle_alpha 90.00
_cell_angle_beta 90.00
_cell_angle_gamma 90.00
loop_
_atom_site_label
_atom_site_fract_x
_atom_site_fract_y
_atom_site_fract_z
Hf1 0.0000 0.0000 0.0000
Sn1 0.0000 0.0000 0.5000
Os1 0.5000 0.5000 0.5000
```

Values from the calculation:
calculated formation energy: 1.70 eV/atom
total magnetic moment: 3.45 Bohr magnetons per cell